YBeInNi | GGA-PBE | optimized geometry

Results
DFT total energy ... -4.605 eV/atom
Energy above the most stable polymorph in this dataset ... 0.81 eV per formula unit
Crystal system ... cubic

Geometry as CIF:
```
data_YBeInNi
_chemical_formula_sum 'Y4 Be4 In4 Ni4'
_cell_length_a 6.532
_cell_length_b 6.532
_cell_length_c 6.532
_cell_angle_alpha 90.00
_cell_angle_beta 90.00
_cell_angle_gamma 90.00
_space_group_name_H-M_alt 'F -4 3 m'
_space_group_IT_number 216
_space_group_name_Hall 'F -4 2 3'
loop_
_atom_site_label
_atom_site_type_symbol
_atom_site_fract_x
_atom_site_fract_y
_atom_site_fract_z
Y1 Y 0.000 0.000 0.000
Be1 Be 0.250 0.250 0.250
In1 In 0.250 0.250 0.750
Ni1 Ni 0.000 0.000 0.500
```